Compound: Tb8CePm2
Source: Alexandria
Functional: PBE-GGA
Structure: optimized geometry

Cell: 9.4583 9.4583 7.9988 Å, 104.66 104.66 31.00°
Closest atoms and distances in Å follow each position.
Atoms (fractional coordinates):
1 Tb 0.0444 0.0444 0.2307  9 Tb 3.53-3.62, 2 Ce 3.55, 1 Pm 3.62
2 Tb 0.1350 0.1350 0.6783  7 Tb 3.53-3.62, 2 Ce 3.55, 3 Pm 3.58-3.62
3 Tb 0.3201 0.3201 0.5925  1 Ce 3.55, 8 Tb 3.56-3.62, 3 Pm 3.58-3.59
4 Tb 0.4102 0.4102 0.0470  8 Tb 3.55-3.60, 1 Ce 3.56, 3 Pm 3.57-3.60
5 Tb 0.5898 0.5898 0.9530  8 Tb 3.55-3.60, 1 Ce 3.56, 3 Pm 3.57-3.60
6 Tb 0.6799 0.6799 0.4075  1 Ce 3.55, 8 Tb 3.56-3.62, 3 Pm 3.58-3.59
7 Tb 0.8650 0.8650 0.3217  7 Tb 3.53-3.62, 2 Ce 3.55, 3 Pm 3.58-3.62
8 Tb 0.9556 0.9556 0.7693  9 Tb 3.53-3.62, 2 Ce 3.55, 1 Pm 3.62
9 Ce 0.5000 0.5000 0.5000  12 Tb 3.55-3.56
10 Pm 0.2283 0.2283 0.1373  2 Pm 3.57, 10 Tb 3.57-3.62
11 Pm 0.7717 0.7717 0.8627  2 Pm 3.57, 10 Tb 3.57-3.62

Results
- symmetry = No. 12
- formation energy from the elements (eV/atom) = 0.04